# TlAg2Br, single point on PBEsol structure, DFT SCAN
data_TlAg2Br
_chemical_formula_sum 'Tl1 Ag2 Br1'
_cell_length_a 4.4371
_cell_length_b 4.4371
_cell_length_c 4.4856
_cell_angle_alpha 90.00
_cell_angle_beta 90.00
_cell_angle_gamma 90.00
_symmetry_space_group_name_H-M 'P 4/m m m'
_symmetry_Int_Tables_number 123
_symmetry_space_group_name_Hall '-P 4 2'
loop_
_atom_site_label
_atom_site_fract_x
_atom_site_fract_y
_atom_site_fract_z
_atom_site_occupancy
Tl1 0.0000 0.0000 0.0000 1
Ag1 0.0000 0.5000 0.5000 1
Br1 0.5000 0.5000 0.0000 1
# ΔE to the lowest computed polymorph ... 0.060 eV/atom
# M_tot ... 0.000 Bohr magnetons per cell
# Formation energy without anion corrections ... 111.3 meV per atom
# Final energy ... -154.1 eV for the cell shown